[1]
Computed, not measured: a relaxed structure of LiPrO2 at the PBE-GGA level of DFT.

Cell: 11.7907 3.5402 5.3696 Å, 90.00 90.00 90.00°
Positions (direct):
Li: 0.9390 0.7500 0.4010
Li: 0.4390 0.7500 0.0990
Li: 0.0610 0.2500 0.5990
Li: 0.5610 0.2500 0.9010
O: 0.0262 0.2500 0.2503
O: 0.6965 0.2500 0.7075
O: 0.9738 0.7500 0.7497
O: 0.3035 0.7500 0.2925
O: 0.8035 0.7500 0.2075
O: 0.5262 0.2500 0.2497
O: 0.1965 0.2500 0.7925
O: 0.4738 0.7500 0.7503
Pr: 0.1407 0.7500 0.0505
Pr: 0.3593 0.2500 0.5505
Pr: 0.6407 0.7500 0.4495
Pr: 0.8593 0.2500 0.9495

- V: 56.0 Å³/f.u.
- Total DFT energy (no corrections): -6.89 eV per atom


[2]
Computed, not measured: a relaxed structure of HoBi at the PBE-GGA level of DFT.

Cell: 4.9624 4.9624 4.9624 Å, 60.00 60.00 60.00°
Positions (direct):
Bi: 0.0000 0.0000 0.0000
Ho: 0.2500 0.2500 0.2500

- V: 86.4 Å³/f.u.
- Total DFT energy (no corrections): -4.66 eV per atom


[3]
Computed, not measured: a relaxed structure of HoMgMo at the PBE-GGA level of DFT.

Cell: 4.8060 4.8060 4.8060 Å, 60.00 60.00 60.00°
Positions (direct):
Mo: 0.0000 0.0000 0.0000
Ho: 0.2500 0.2500 0.2500
Mg: 0.7500 0.7500 0.7500

- Distance to the lowest polymorph of the same formula: 0.000 eV/atom
- V: 78.5 Å³/f.u.